# Tb5Ho2Tm12, relaxed, DFT GGA-PBE
data_Tb5Ho2Tm12
_chemical_formula_sum 'Tb5 Ho2 Tm12'
_cell_length_a 5.938
_cell_length_b 9.572
_cell_length_c 11.119
_cell_angle_alpha 70.10
_cell_angle_beta 82.35
_cell_angle_gamma 88.61
_space_group_name_H-M_alt 'P -1'
_space_group_IT_number 2
loop_
_space_group_symop_operation_xyz
'x,y,z'
'-x,-y,-z'
loop_
_atom_site_label
_atom_site_fract_x
_atom_site_fract_y
_atom_site_fract_z
_atom_site_occupancy
Tb1 0.000 0.000 0.000 1
Tb2 0.101 0.962 0.344 1
Tb3 0.495 0.547 0.831 1
Ho1 0.283 0.567 0.420 1
Tm1 0.038 0.686 0.657 1
Tm2 0.076 0.314 0.043 1
Tm3 0.163 0.316 0.728 1
Tm4 0.385 0.905 0.788 1
Tm5 0.426 0.820 0.105 1
Tm6 0.429 0.181 0.487 1
# Theoretical density, Mg/m³: 8.9
# Energy relative to the elements, eV per atom: 0.126
# D(E_F), states/eV/f.u.: 30.2

# KZrSb2O6, relaxed, DFT GGA-PBE
data_KZrSb2O6
_chemical_formula_sum 'K4 Zr4 Sb8 O24'
_cell_length_a 9.586
_cell_length_b 10.539
_cell_length_c 6.732
_cell_angle_alpha 90.00
_cell_angle_beta 101.19
_cell_angle_gamma 90.00
_space_group_name_H-M_alt 'C 1 2/c 1'
_space_group_IT_number 15
loop_
_space_group_symop_operation_xyz
'x,y,z'
'-x,-y,-z'
'-x,y,-z+1/2'
'x,-y,z+1/2'
'x+1/2,y+1/2,z'
'-x+1/2,-y+1/2,-z'
'-x+1/2,y+1/2,-z+1/2'
'x+1/2,-y+1/2,z+1/2'
loop_
_atom_site_label
_atom_site_fract_x
_atom_site_fract_y
_atom_site_fract_z
_atom_site_occupancy
K1 0.000 0.090 0.250 1
Zr1 0.000 0.279 0.750 1
Sb1 0.165 0.402 0.281 1
O1 0.110 0.291 0.043 1
O2 0.129 0.131 0.666 1
O3 0.151 0.425 0.662 1
# Theoretical density, Mg/m³: 4.7
# D(E_F), states/eV/f.u.: 1.6
# Energy relative to the elements, uncorrected, eV per atom: -1.8766